Entry 1:
{
  "formula": "Nd3ScAu2",
  "functional": "GGA-PBE",
  "state": "relaxed",
  "cell": [[5.095, 0.000, 0.000], [0.000, 9.308, 0.000], [0.000, 0.000, 6.910]],
  "species": ["Nd", "Nd", "Nd", "Nd", "Nd", "Nd", "Sc", "Sc", "Au", "Au", "Au", "Au"],
  "frac_coords": [[0.000, 0.068, 0.000], [0.000, 0.344, 0.340], [0.000, 0.656, 0.840], [0.000, 0.932, 0.500], [0.500, 0.173, 0.662], [0.500, 0.827, 0.162], [0.500, 0.429, 0.008], [0.500, 0.571, 0.508], [0.000, 0.347, 0.781], [0.000, 0.653, 0.281], [0.500, 0.164, 0.226], [0.500, 0.836, 0.726]],
  "formation_energy_ev_per_atom": -0.517
}


Entry 2:
{
  "formula": "KPd2F2",
  "functional": "GGA-PBE",
  "state": "relaxed",
  "cell": [[-2.275, 2.275, 4.440], [2.275, -2.275, 4.440], [2.275, 2.275, -4.440]],
  "species": ["K", "Pd", "Pd", "F", "F"],
  "frac_coords": [[0.000, 0.000, 0.000], [0.342, 0.342, 0.000], [0.658, 0.658, 0.000], [0.250, 0.750, 0.500], [0.750, 0.250, 0.500]],
  "e_form_raw_ev_per_atom": -0.6530,
  "relative_energy_mev_per_atom": 65.5
}


Entry 3:
{
  "formula": "Th3Al9Fe2",
  "functional": "GGA-PBE",
  "state": "relaxed",
  "cell": [[-2.184, 4.949, 6.217], [2.184, -4.949, 6.217], [2.184, 4.949, -6.217]],
  "species": ["Th", "Th", "Th", "Al", "Al", "Al", "Al", "Al", "Al", "Al", "Al", "Al", "Fe", "Fe"],
  "frac_coords": [[0.000, 0.000, 0.000], [0.312, 0.312, 0.000], [0.688, 0.688, 0.000], [0.014, 0.656, 0.358], [0.163, 0.881, 0.282], [0.298, 0.656, 0.642], [0.401, 0.119, 0.282], [0.500, 0.000, 0.500], [0.599, 0.881, 0.718], [0.702, 0.344, 0.358], [0.837, 0.119, 0.718], [0.986, 0.344, 0.642], [0.305, 0.500, 0.805], [0.695, 0.500, 0.195]],
  "formation_energy_ev_per_atom": -0.379
}


Entry 4:
{
  "formula": "Nd3YEr6",
  "functional": "GGA-PBE",
  "state": "relaxed",
  "cell": [[5.444, -9.383, 0.000], [5.444, 9.383, 0.000], [0.000, 0.000, 6.377]],
  "species": ["Nd", "Nd", "Nd", "Nd", "Nd", "Nd", "Y", "Y", "Er", "Er", "Er", "Er", "Er", "Er", "Er", "Er", "Er", "Er", "Er", "Er"],
  "frac_coords": [[0.113, 0.887, 0.500], [0.206, 0.433, 0.898], [0.433, 0.206, 0.398], [0.567, 0.794, 0.898], [0.794, 0.567, 0.398], [0.887, 0.113, 0.000], [0.312, 0.688, 0.557], [0.688, 0.312, 0.057], [0.024, 0.446, 0.299], [0.123, 0.215, 0.477], [0.215, 0.123, 0.977], [0.233, 0.767, 0.084], [0.446, 0.024, 0.799], [0.466, 0.534, 0.281], [0.534, 0.466, 0.781], [0.554, 0.976, 0.299], [0.767, 0.233, 0.584], [0.785, 0.877, 0.477], [0.877, 0.785, 0.977], [0.976, 0.554, 0.799]],
  "formation_energy_ev_per_atom": 0.154
}


| no. | E (eV per atom) | total magnetic moment (Bohr magnetons per cell) |
| --- | --- | --- |
| 1 | -5.049 | 0.00 |
| 2 | -3.698 | 1.15 |
| 3 | -5.584 | 2.11 |
| 4 | -4.661 | 0.00 |